NaCeDy2S4: optimized geometry, PBE.

Values from the calculation:
D(E_F): 6.9 states/eV per cell
formation energy without anion corrections: -1915.9 meV/atom

The structure in CIF format:
```
data_NaCeDy2S4
_chemical_formula_sum 'Na1 Ce1 Dy2 S4'
_space_group_name_H-M_alt 'P 1 2/m 1'
_space_group_IT_number 10
_cell_length_a 6.874
_cell_length_b 3.945
_cell_length_c 6.937
_cell_angle_alpha 90.00
_cell_angle_beta 109.06
_cell_angle_gamma 90.00
loop_
_space_group_symop_operation_xyz
'x,y,z'
'-x,-y,-z'
'-x,y,-z'
'x,-y,z'
loop_
_atom_site_label
_atom_site_fract_x
_atom_site_fract_y
_atom_site_fract_z
Na1 0.000 0.000 0.000
Ce1 0.500 0.500 0.000
Dy1 0.000 0.500 0.500
Dy2 0.500 0.000 0.500
S1 0.244 0.000 0.740
S2 0.254 0.500 0.262
```